Density functional theory data (PBE-GGA) for a relaxed NpNi2GeN crystal.

Structure (CIF):
```
data_NpNi2GeN
_chemical_formula_sum 'Np4 Ni8 Ge4 N4'
_cell_length_a 3.326
_cell_length_b 11.672
_cell_length_c 6.942
_cell_angle_alpha 90.00
_cell_angle_beta 90.00
_cell_angle_gamma 90.00
_symmetry_space_group_name_H-M 'C m c m'
_symmetry_Int_Tables_number 63
_symmetry_space_group_name_Hall '-C 2c 2'
loop_
_atom_site_label
_atom_site_fract_x
_atom_site_fract_y
_atom_site_fract_z
_atom_site_occupancy
Np1 0.000 0.024 0.250 1
Ni1 0.000 0.336 0.051 1
Ge1 0.000 0.244 0.750 1
N1 0.000 0.500 0.000 1
```

raw formation energy: -0.575 eV per atom
calculated density: 10.87 g/cm³
DOS(E_F): 7.88 states/eV/f.u.